Entry 1:
First-principles (GGA-PBE) data for a relaxed structure of Dy4AlRh, as listed in Alexandria via LeMat-Bulk.

Output
Its mass density is 8.47 g/cm³. Its total moment is 0.000 μB/f.u. The value obtained for the formation energy is -0.52 eV/atom. Its density of states at the Fermi level is 0.637 states/eV/atom. As for the distance to the lowest polymorph of the same formula: 0.0000 eV per atom.

POSCAR file:
```
Dy4AlRh
1.0
0.000 6.737 6.737
6.737 0.000 6.737
6.737 6.737 0.000
Dy Al Rh
16 4 4
direct
0.186 0.186 0.814
0.186 0.814 0.186
0.186 0.814 0.814
0.398 0.398 0.398
0.398 0.398 0.807
0.398 0.807 0.398
0.556 0.556 0.944
0.556 0.944 0.556
0.556 0.944 0.944
0.807 0.398 0.398
0.814 0.186 0.186
0.814 0.186 0.814
0.814 0.814 0.186
0.944 0.556 0.556
0.944 0.556 0.944
0.944 0.944 0.556
0.173 0.173 0.173
0.173 0.173 0.482
0.173 0.482 0.173
0.482 0.173 0.173
0.177 0.608 0.608
0.608 0.177 0.608
0.608 0.608 0.177
0.608 0.608 0.608
```

Entry 2:
First-principles (GGA-PBE) data for a relaxed structure of BaMoIr2, as listed in Alexandria via LeMat-Bulk.

Output
Its mass density is 10.19 g/cm³. Its total moment is 0.000 μB/f.u. The value obtained for the formation energy is 0.57 eV/atom. Its density of states at the Fermi level is 0.784 states/eV/atom. As for the distance to the lowest polymorph of the same formula: 0.4861 eV per atom.

POSCAR file:
```
BaMoIr2
1.0
-3.779 3.779 3.523
3.779 -3.779 3.523
3.779 3.779 -3.523
Ba Mo Ir
2 2 4
direct
0.000 0.000 0.000
0.750 0.250 0.500
0.250 0.750 0.500
0.500 0.500 0.000
0.212 0.125 0.587
0.375 0.788 0.913
0.538 0.625 0.413
0.875 0.462 0.087
```